DFT (GGA-PBE) results for NdDy5Tm5 after structural relaxation.

## Properties
energy above the most stable polymorph in this dataset: 0 kJ/mol of formula units
energy of formation from the pure elements: 0.1442 eV per atom

Unit cell a=6.786 b=6.940 c=8.251 alpha=76.42 beta=76.91 gamma=72.71
Space group P-1 (No. 2)
Symmetry-distinct sites (fractional):
Nd  0.000  0.000  0.000 [1 per cell]
Dy  0.000  0.500  0.000 [1 per cell]
Dy  0.157  0.630  0.359 [2 per cell]
Dy  0.322  0.766  0.656 [2 per cell]
Tm  0.213  0.139  0.317 [2 per cell]
Tm  0.354  0.252  0.714 [2 per cell]
Tm  0.500  0.500  0.000 [1 per cell]


DFT (GGA-PBE) results for Nd3Dy2Tm5 after structural relaxation.

## Properties
energy of formation from the pure elements: 0.1929 eV per atom

Unit cell a=10.606 b=15.929 c=9.367 alpha=90.00 beta=124.40 gamma=90.00
Space group C2/c (No. 15)
Symmetry-distinct sites (fractional):
Nd  0.000  0.235  0.250 [4 per cell]
Nd  0.146  0.124  0.046 [8 per cell]
Dy  0.150  0.383  0.548 [8 per cell]
Tm  0.000  0.026  0.250 [4 per cell]
Tm  0.000  0.272  0.750 [4 per cell]
Tm  0.000  0.472  0.750 [4 per cell]
Tm  0.243  0.388  0.236 [8 per cell]


| no. | N(E_F) (states/eV/atom) | DFT total energy (eV per formula unit) |
| --- | --- | --- |
| 1 | 1.4564 | -48.55 |
| 2 | 1.7002 | -43.94 |